This record from Alexandria via LeMat-Bulk describes crystalline LiZn2Co at its relaxed geometry. The functional is PBE.

Computed properties:
The value obtained for the total DFT energy (no corrections) is -2.895 eV per atom. The calculation puts the formation energy from the elements at -3 meV per atom.

The structure in extended XYZ format:
```
4
Lattice="2.5500 0.0000 0.0000 0.0000 3.9649 0.0000 0.0000 0.0000 5.1405" Properties=species:S:1:pos:R:3 pbc="T T T"
Li 0.0000 0.0000 0.0000
Zn 0.0000 0.0000 2.7119
Zn 1.2750 1.9825 1.2381
Co 1.2750 1.9825 3.8187
```

This record from Alexandria via LeMat-Bulk describes crystalline Li3Zn4Co at its relaxed geometry. The functional is PBE.

Computed properties:
The value obtained for the total DFT energy (no corrections) is -2.373 eV per atom. The calculation puts the formation energy from the elements at -131 meV per atom.

The structure in extended XYZ format:
```
8
Lattice="-2.0848 2.0848 6.2445 2.0848 -2.0848 6.2445 2.0848 2.0848 -6.2445" Properties=species:S:1:pos:R:3 pbc="T T T"
Li 0.0000 0.0000 0.0000
Li 0.0000 0.0000 3.2139
Li 0.0000 0.0000 9.2751
Zn 2.0848 0.0000 1.4327
Zn 2.0848 0.0000 4.8118
Zn 0.0000 2.0848 1.4327
Zn 0.0000 2.0848 4.8118
Co 0.0000 0.0000 6.2445
```

This record from Alexandria via LeMat-Bulk describes crystalline LiZn2Co at its relaxed geometry. The functional is PBE.

Computed properties:
The value obtained for the total DFT energy (no corrections) is -3.015 eV per atom. The calculation puts the formation energy from the elements at -123 meV per atom.

The structure in extended XYZ format:
```
4
Lattice="2.9412 -2.9653 0.0000 2.9412 2.9653 0.0000 0.0000 0.0000 2.8527" Properties=species:S:1:pos:R:3 pbc="T T T"
Li 0.0000 0.0000 0.0000
Zn 1.4706 1.4826 1.4263
Zn 1.4706 -1.4826 1.4263
Co 2.9412 0.0000 0.0000
```

This record from Alexandria via LeMat-Bulk describes crystalline LiZn2Co at its relaxed geometry. The functional is PBE.

Computed properties:
The value obtained for the total DFT energy (no corrections) is -2.923 eV per atom. The calculation puts the formation energy from the elements at -32 meV per atom.

The structure in extended XYZ format:
```
4
Lattice="-1.4322 2.0811 4.2637 1.4322 -2.0811 4.2637 1.4322 2.0811 -4.2637" Properties=species:S:1:pos:R:3 pbc="T T T"
Li 0.0000 0.0000 0.0000
Zn 1.4322 0.0000 2.2047
Zn 0.0000 0.0000 4.3812
Co 0.0000 2.0811 2.1188
```

This record from Alexandria via LeMat-Bulk describes crystalline LiZnCo3 at its relaxed geometry. The functional is PBE.

Computed properties:
The value obtained for the total DFT energy (no corrections) is -3.997 eV per atom. The calculation puts the formation energy from the elements at 904 meV per atom.

The structure in extended XYZ format:
```
5
Lattice="3.9357 0.0000 0.0000 0.0000 3.9357 0.0000 0.0000 0.0000 3.9357" Properties=species:S:1:pos:R:3 pbc="T T T"
Li 0.0000 0.0000 0.0000
Zn 1.9678 1.9678 1.9678
Co 0.0000 0.0000 1.9678
Co 0.0000 1.9678 0.0000
Co 1.9678 0.0000 0.0000
```

This record from Alexandria via LeMat-Bulk describes crystalline LiZn4Co at its relaxed geometry. The functional is PBE.

Computed properties:
The value obtained for the total DFT energy (no corrections) is -2.425 eV per atom. The calculation puts the formation energy from the elements at -72 meV per atom.

The structure in extended XYZ format:
```
6
Lattice="4.1682 0.0000 0.0000 0.0000 2.7500 0.0000 -0.0019 0.0000 7.1867" Properties=species:S:1:pos:R:3 pbc="T T T"
Li 0.0000 0.0000 0.0000
Zn 2.0794 1.3750 1.6430
Zn 2.0812 1.3750 6.1390
Zn 4.1629 0.0000 2.5403
Zn 4.1644 1.3750 4.7136
Co 2.0791 0.0000 3.9655
```

Which of these has the highest formation energy from the elements?
LiZnCo3

Among the records above, which one has the highest formation energy from the elements?
LiZnCo3